The following is a PBE-GGA calculation of a relaxed LuZnCuSn crystal, from OQMD via LeMat-Bulk.

Properties
DFT total energy: -3.619 eV/atom
offset from the most stable computed form: 0.000 eV per atom
calculated volume: 18.90 A^3/atom
space-group type: F-43m, No. 216

The structure in POSCAR format:
```
LuZnCuSn
1.0
-1.1644 -4.5841 -0.3906
-4.1532 -1.5464 1.6978
-3.4387 -1.3285 -2.9889
Cu Lu Sn Zn
1 1 1 1
Direct
0.7500 0.7500 0.7500 Cu
0.5000 0.5000 0.5000 Lu
0.0000 0.0000 0.0000 Sn
0.2500 0.2500 0.2500 Zn
```